[1]
First-principles (PBE) data for a geometry-optimized Mn2InFePb structure, as listed in Alexandria via LeMat-Bulk.

Calculated values
Formation enthalpy at 0 K ... 0.7477 eV per atom

a b c (Å): 4.7487 4.7487 4.9440
angles (deg): 90.00 90.00 90.00
Space group P4/mmm (No. 123)
Unique sites:
Mn: 0.0000 0.5000 0.0000
In: 0.0000 0.0000 0.5000
Fe: 0.5000 0.5000 0.0000
Pb: 0.5000 0.5000 0.5000



[2]
First-principles (PBE) data for a geometry-optimized HoGa6Ge structure, as listed in Alexandria via LeMat-Bulk.

Calculated values
Formation enthalpy at 0 K ... -0.0641 eV per atom

a b c (Å): 8.2737 7.8883 5.3865
angles (deg): 90.00 91.95 90.00
Space group C2/m (No. 12)
Unique sites:
Ho: 0.0000 0.0000 0.0000
Ga: 0.1584 0.0000 0.5107
Ga: 0.1949 0.2812 0.7700
Ge: 0.0000 0.5000 0.5000



[3]
First-principles (PBE) data for a geometry-optimized CrPAu2 structure, as listed in Alexandria via LeMat-Bulk.

Calculated values
Formation enthalpy at 0 K ... 0.0556 eV per atom

a b c (Å): 3.2798 3.5205 11.8325
angles (deg): 90.00 90.00 90.00
Space group Immm (No. 71)
Unique sites:
Cr: 0.0000 0.0000 0.0000
P: 0.0000 0.0000 0.5000
Au: 0.0000 0.5000 0.1827



[4]
First-principles (PBE) data for a geometry-optimized LiSi2Ir2 structure, as listed in Alexandria via LeMat-Bulk.

Calculated values
Uncorrected formation energy ... -0.608 eV per atom

a b c (Å): 4.2871 5.0350 6.9907
angles (deg): 86.62 72.25 79.13
Space group P-1 (No. 2)
Unique sites:
Li: 0.0643 0.0909 0.3156
Si: 0.3485 0.7070 0.9328
Si: 0.3940 0.2498 0.5603
Ir: 0.2280 0.5678 0.3164
Ir: 0.2343 0.1882 0.9250



[5]
First-principles (PBE) data for a geometry-optimized TbPm6Sm4 structure, as listed in Alexandria via LeMat-Bulk.

Calculated values
Formation enthalpy at 0 K ... 0.2865 eV per atom
Distance to the lowest polymorph of the same formula ... 0.0 meV per atom

a b c (Å): 6.6642 6.6642 17.3861
angles (deg): 90.00 90.00 90.00
Space group I-42m (No. 121)
Unique sites:
Tb: 0.0000 0.0000 0.0000
Pm: 0.0000 0.5000 0.0000
Pm: 0.1780 0.1780 0.3704
Sm: 0.1883 0.1883 0.1764



[6]
First-principles (PBE) data for a geometry-optimized NaNiHPd2 structure, as listed in Alexandria via LeMat-Bulk.

Calculated values
Distance to the lowest polymorph of the same formula ... 75.9 meV per atom

a b c (Å): 3.9474 3.9474 4.1000
angles (deg): 90.00 90.00 90.00
Space group P4/mmm (No. 123)
Unique sites:
Na: 0.0000 0.0000 0.0000
Ni: 0.5000 0.5000 0.0000
H: 0.0000 0.0000 0.5000
Pd: 0.0000 0.5000 0.5000



[7]
First-principles (PBE) data for a geometry-optimized MnTlC3 structure, as listed in Alexandria via LeMat-Bulk.

Calculated values
Formation enthalpy at 0 K ... 1.8508 eV per atom
Distance to the lowest polymorph of the same formula ... 0.0 meV per atom

a b c (Å): 3.9168 3.9168 3.9168
angles (deg): 90.00 90.00 90.00
Space group Pm-3m (No. 221)
Unique sites:
Mn: 0.0000 0.0000 0.0000
Tl: 0.5000 0.5000 0.5000
C: 0.0000 0.0000 0.5000



[8]
First-principles (PBE) data for a geometry-optimized LiCaTl2Cl5 structure, as listed in Alexandria via LeMat-Bulk.

Calculated values
Uncorrected formation energy ... -1.660 eV per atom

a b c (Å): 4.1693 18.1608 13.8779
angles (deg): 90.00 90.00 90.00
Space group Cmc2_1 (No. 36)
Unique sites:
Li: 0.0000 0.0551 0.0000
Ca: 0.0000 0.2954 0.5923
Tl: 0.0000 0.3700 0.8884
Tl: 0.0000 0.4053 0.2327
Cl: 0.0000 0.0030 0.3498
Cl: 0.0000 0.1467 0.5672
Cl: 0.0000 0.1873 0.9613
Cl: 0.0000 0.2139 0.2231
Cl: 0.0000 0.4487 0.5886



[9]
First-principles (PBE) data for a geometry-optimized AcGdDySn structure, as listed in Alexandria via LeMat-Bulk.

Calculated values
Formation enthalpy at 0 K ... -0.1827 eV per atom

a b c (Å): 7.8896 7.8896 7.8896
angles (deg): 90.00 90.00 90.00
Space group F-43m (No. 216)
Unique sites:
Ac: 0.0000 0.0000 0.0000
Gd: 0.2500 0.2500 0.7500
Dy: 0.2500 0.2500 0.2500
Sn: 0.0000 0.0000 0.5000



[10]
First-principles (PBE) data for a geometry-optimized ScRu3N structure, as listed in Alexandria via LeMat-Bulk.

Calculated values
Uncorrected formation energy ... -0.267 eV per atom
Distance to the lowest polymorph of the same formula ... 0.0 meV per atom

a b c (Å): 4.0771 4.0771 4.0771
angles (deg): 90.00 90.00 90.00
Space group Pm-3m (No. 221)
Unique sites:
Sc: 0.0000 0.0000 0.0000
Ru: 0.0000 0.5000 0.5000
N: 0.5000 0.5000 0.5000



[11]
First-principles (PBE) data for a geometry-optimized Ho2Er5Rh4 structure, as listed in Alexandria via LeMat-Bulk.

Calculated values
Formation enthalpy at 0 K ... -0.5135 eV per atom

a b c (Å): 22.8405 3.5170 6.9142
angles (deg): 90.00 97.12 90.00
Space group C2/m (No. 12)
Unique sites:
Ho: 0.2289 0.0000 0.2738
Er: 0.0000 0.0000 0.0000
Er: 0.0976 0.5000 0.4014
Er: 0.1304 0.5000 0.8947
Rh: 0.0222 0.5000 0.7051
Rh: 0.1770 0.0000 0.6305



[12]
First-principles (PBE) data for a geometry-optimized Cs2TlSn3O8 structure, as listed in Alexandria via LeMat-Bulk.

Calculated values
Uncorrected formation energy ... -1.427 eV per atom

a b c (Å): 6.5918 6.5918 22.0085
angles (deg): 90.00 90.00 120.00
Space group R3m (No. 160, hexagonal axes)
Unique sites:
Cs: 0.0000 0.0000 0.0000
Cs: 0.0000 0.0000 0.3623
Tl: 0.0000 0.0000 0.7937
Sn: 0.0048 0.5024 0.8662
O: 0.0000 0.0000 0.1456
O: 0.0000 0.0000 0.5810
O: 0.0485 0.5242 0.1461
O: 0.1790 0.3579 0.9108



Fermi-level density of states, respectively: 2.81 5.89 3.26 2.70 35.25 3.90 3.11 0.00 18.53 2.48 16.22 8.20 states/eV/cell.